No. 1
# PaMnGaCu, optimized geometry, DFT PBE-GGA
data_PaMnGaCu
_cell_length_a 4.564
_cell_length_b 4.564
_cell_length_c 4.564
_cell_angle_alpha 60.00
_cell_angle_beta 60.00
_cell_angle_gamma 60.00
_symmetry_space_group_name_H-M 'P 1'
_symmetry_Int_Tables_number 1
loop_
_symmetry_equiv_pos_as_xyz
'x,y,z'
loop_
_atom_site_label
_atom_site_fract_x
_atom_site_fract_y
_atom_site_fract_z
Pa1 0.000 0.000 0.000
Mn1 0.750 0.750 0.750
Ga1 0.500 0.500 0.500
Cu1 0.250 0.250 0.250
# formation energy: 0.6 kcal/mol of atoms
# D(E_F): 4.025 states/eV/cell
# uncorrected energy: -6.420 eV per atom

---

No. 2
# Mn2Ga2Cu7Pd, optimized geometry, DFT PBE-GGA
data_Mn2Ga2Cu7Pd
_cell_length_a 3.670
_cell_length_b 3.670
_cell_length_c 11.997
_cell_angle_alpha 90.00
_cell_angle_beta 90.00
_cell_angle_gamma 90.73
_symmetry_space_group_name_H-M 'P 1'
_symmetry_Int_Tables_number 1
loop_
_symmetry_equiv_pos_as_xyz
'x,y,z'
loop_
_atom_site_label
_atom_site_fract_x
_atom_site_fract_y
_atom_site_fract_z
Mn1 0.000 0.000 0.179
Mn2 0.000 0.000 0.821
Ga1 0.500 0.500 0.188
Ga2 0.500 0.500 0.812
Cu1 0.000 0.000 0.500
Cu2 0.000 0.500 0.341
Cu3 0.000 0.500 0.659
Cu4 0.258 0.742 0.000
Cu5 0.500 0.000 0.341
Cu6 0.500 0.000 0.659
Cu7 0.742 0.258 0.000
Pd1 0.500 0.500 0.500
# formation energy: 0.7 kcal/mol of atoms
# D(E_F): 5.785 states/eV/cell
# uncorrected energy: -4.823 eV per atom

---

No. 3
# MnGaCuPd, optimized geometry, DFT PBE-GGA
data_MnGaCuPd
_cell_length_a 4.314
_cell_length_b 4.314
_cell_length_c 4.314
_cell_angle_alpha 60.00
_cell_angle_beta 60.00
_cell_angle_gamma 60.00
_symmetry_space_group_name_H-M 'P 1'
_symmetry_Int_Tables_number 1
loop_
_symmetry_equiv_pos_as_xyz
'x,y,z'
loop_
_atom_site_label
_atom_site_fract_x
_atom_site_fract_y
_atom_site_fract_z
Mn1 0.000 0.000 0.000
Ga1 0.500 0.500 0.500
Cu1 0.250 0.250 0.250
Pd1 0.750 0.750 0.750
# formation energy: -5.3 kcal/mol of atoms
# D(E_F): 2.333 states/eV/cell
# uncorrected energy: -5.603 eV per atom

---

The records above yield magnetic moment values of 2.1; 6.6; 4.0 μB per cell, respectively.